# Mg2CrTc

Crystalline Mg2CrTc at its relaxed geometry (PBE, Alexandria via LeMat-Bulk).

Unit cell a=6.292 b=6.292 c=6.292 alpha=90.00 beta=90.00 gamma=90.00
Fractional coordinates of all 16 atoms:
1 Mg 0.000 0.000 0.000
2 Mg 0.000 0.500 0.500
3 Mg 0.250 0.250 0.250
4 Mg 0.250 0.750 0.750
5 Mg 0.500 0.000 0.500
6 Mg 0.500 0.500 0.000
7 Mg 0.750 0.250 0.750
8 Mg 0.750 0.750 0.250
9 Cr 0.000 0.000 0.500
10 Cr 0.000 0.500 0.000
11 Cr 0.500 0.000 0.000
12 Cr 0.500 0.500 0.500
13 Tc 0.250 0.250 0.750
14 Tc 0.250 0.750 0.250
15 Tc 0.750 0.250 0.250
16 Tc 0.750 0.750 0.750

- Energy above the lowest structure with this stoichiometry: 180 meV per atom
- Theoretical density: 5.30 Mg/m³
- Raw total energy: -5.5132 eV per atom
- Symmetry: No. 216
- ΔH_f (0 K): 281 meV per atom